1.
## Li2Mn3B3O9 (PBEsol)

Data for crystalline Li2Mn3B3O9 at its relaxed geometry.

Cell: 6.1026 8.1600 8.5574 Å, 117.43 109.73 91.54°
Last column: nearest neighbours and their distance in Å.
Space group P1 (No. 1)
Unique sites:
Li 0.0000 0.0000 0.0000 x1  4 O 1.89-1.99
Li 0.1381 0.5826 0.2623 x1  4 O 1.92-2.07
Li 0.3049 0.2678 0.6807 x1  4 O 1.89-1.99
Li 0.8271 0.2557 0.6738 x1  4 O 1.92-2.05
Mn 0.0190 0.8865 0.6053 x1  5 O 1.93-2.05
Mn 0.2290 0.6577 0.9741 x1  5 O 1.95-2.08
Mn 0.4088 0.2963 0.3630 x1  5 O 1.96-2.06
Mn 0.5476 0.9353 0.6677 x1  4 O 2.02-2.17
Mn 0.7246 0.6336 0.9843 x1  5 O 1.98-2.19
Mn 0.8730 0.2876 0.3131 x1  4 O 2.00-2.21
B 0.1328 0.9540 0.3179 x1  3 O 1.38-1.39
B 0.2173 0.2823 0.9787 x1  3 O 1.37-1.40
B 0.2931 0.6102 0.6402 x1  3 O 1.38-1.39
B 0.6345 0.9513 0.3255 x1  3 O 1.37-1.39
B 0.7261 0.2831 0.9725 x1  3 O 1.37-1.40
B 0.8119 0.6094 0.6530 x1  3 O 1.37-1.40
O 0.0563 0.8397 0.1216 x1  1 B 1.38
O 0.1162 0.1751 0.7778 x1  1 B 1.40
O 0.1667 0.1480 0.3967 x1  1 B 1.38
O 0.1738 0.8706 0.4315 x1  1 B 1.39
O 0.2140 0.4907 0.4439 x1  1 B 1.39
O 0.2611 0.4766 0.0656 x1  1 B 1.38
O 0.2616 0.1931 0.0852 x1  1 B 1.37
O 0.2965 0.8018 0.7129 x1  1 B 1.39
O 0.3674 0.5407 0.7652 x1  1 B 1.38
O 0.5505 0.8168 0.1351 x1  1 B 1.37
O 0.6082 0.2184 0.7771 x1  1 B 1.40
O 0.6560 0.1426 0.3840 x1  1 B 1.39
O 0.7016 0.4904 0.4590 x1  1 B 1.37
O 0.7055 0.9040 0.4685 x1  1 B 1.39
O 0.7627 0.1485 0.0284 x1  1 B 1.38
O 0.8065 0.4726 0.1022 x1  1 B 1.37
O 0.8484 0.8056 0.7287 x1  1 B 1.40
O 0.8915 0.5378 0.7769 x1  1 B 1.39

Properties
Uncorrected energy (eV per atom): -7.909
Crystal system: triclinic
Energy relative to the elements, uncorrected (eV per atom): -1.94
DOS(E_F) (states/eV/atom): 0.20

---

2.
## Li5Mn6B6O18 (PBEsol)

Data for crystalline Li5Mn6B6O18 at its relaxed geometry.

Cell: 16.1760 6.1828 14.1330 Å, 90.00 90.46 90.00°
Last column: nearest neighbours and their distance in Å.
Space group Cm (No. 8)
Unique sites:
Li 0.0000 0.0000 0.0000 x2  4 O 1.95-2.00
Li 0.0002 0.5000 0.0016 x2  4 O 1.97-2.05
Li 0.2108 0.5000 0.8413 x2  4 O 1.92-2.02
Li 0.2259 0.5000 0.1324 x2  4 O 1.94-1.96
Li 0.2266 0.0000 0.1316 x2  4 O 1.94-2.00
Li 0.2486 0.0000 0.5031 x2  4 O 1.96-2.04
Li 0.2513 0.5000 0.4989 x2  4 O 1.96-2.00
Li 0.4604 0.5000 0.3404 x2  4 O 1.92-2.04
Li 0.4751 0.0000 0.6322 x2  4 O 1.94-1.97
Li 0.4770 0.5000 0.6317 x2  4 O 1.95-1.99
Mn 0.0546 0.2480 0.8103 x4  5 O 1.97-2.14
Mn 0.0577 0.2515 0.1810 x4  5 O 2.03-2.11
Mn 0.0748 0.2543 0.4796 x4  5 O 2.03-2.15
Mn 0.3045 0.2474 0.3104 x4  5 O 1.97-2.14
Mn 0.3075 0.2479 0.6809 x4  5 O 2.03-2.11
Mn 0.3250 0.2472 0.9797 x4  5 O 2.03-2.15
B 0.1449 0.0000 0.6516 x2  3 O 1.38-1.39
B 0.1445 0.2535 0.9935 x4  3 O 1.37-1.40
B 0.1459 0.5000 0.6557 x2  3 O 1.38-1.39
B 0.1466 0.0000 0.3231 x2  3 O 1.38-1.40
B 0.1494 0.5000 0.3246 x2  3 O 1.38-1.40
B 0.3945 0.2539 0.4934 x4  3 O 1.37-1.40
B 0.3952 0.5000 0.1542 x2  3 O 1.38-1.39
B 0.3960 0.0000 0.1537 x2  3 O 1.38-1.39
B 0.3969 0.5000 0.8231 x2  3 O 1.38-1.40
B 0.3992 0.0000 0.8247 x2  3 O 1.37-1.40
O 0.0676 0.2470 0.0375 x4  1 B 1.40
O 0.0764 0.0000 0.3788 x2  1 B 1.39
O 0.0761 0.5000 0.7113 x2  1 B 1.38
O 0.0782 0.0000 0.7123 x2  1 B 1.38
O 0.0816 0.5000 0.3827 x2  1 B 1.38
O 0.1311 0.0000 0.5544 x2  1 B 1.39
O 0.1370 0.0000 0.2247 x2  1 B 1.40
O 0.1378 0.5000 0.2264 x2  1 B 1.40
O 0.1394 0.5000 0.5583 x2  1 B 1.38
O 0.1502 0.2670 0.8973 x4  1 B 1.37
O 0.2160 0.2508 0.0495 x4  1 B 1.40
O 0.2233 0.5000 0.6994 x2  1 B 1.39
O 0.2249 0.0000 0.3636 x2  1 B 1.38
O 0.2256 0.0000 0.6836 x2  1 B 1.38
O 0.2290 0.5000 0.3624 x2  1 B 1.39
O 0.3176 0.2495 0.5374 x4  1 B 1.40
O 0.3262 0.5000 0.2111 x2  1 B 1.38
O 0.3271 0.5000 0.8800 x2  1 B 1.39
O 0.3284 0.0000 0.2131 x2  1 B 1.38
O 0.3309 0.0000 0.8820 x2  1 B 1.37
O 0.3835 0.0000 0.0565 x2  1 B 1.39
O 0.3875 0.5000 0.0568 x2  1 B 1.38
O 0.3866 0.5000 0.7249 x2  1 B 1.40
O 0.3878 0.0000 0.7264 x2  1 B 1.40
O 0.4002 0.2671 0.3971 x4  1 B 1.37
O 0.4659 0.2492 0.5494 x4  1 B 1.40
O 0.4730 0.5000 0.1971 x2  1 B 1.39
O 0.4754 0.5000 0.8628 x2  1 B 1.38
O 0.4762 0.0000 0.1869 x2  1 B 1.38
O 0.4786 0.0000 0.8630 x2  1 B 1.39

Properties
Uncorrected energy (eV per atom): -7.827
Crystal system: monoclinic
Energy relative to the elements, uncorrected (eV per atom): -1.97
DOS(E_F) (states/eV/atom): 0.35

---

3.
## Li5Mn3B4O12 (PBEsol)

Data for crystalline Li5Mn3B4O12 at its relaxed geometry.

Cell: 5.2364 9.0533 10.7090 Å, 90.00 117.74 90.00°
Last column: nearest neighbours and their distance in Å.
Space group Pc (No. 7)
Unique sites:
Li 0.0000 0.0783 0.0000 x2  5 O 2.02-2.11
Li 0.0233 0.2396 0.5216 x2  4 O 1.91-2.13
Li 0.0419 0.2625 0.2108 x2  3 O 1.90-1.98
Li 0.0805 0.4198 0.7449 x2  5 O 2.02-2.13
Li 0.4907 0.2480 0.0061 x2  4 O 1.93-2.11
Mn 0.5078 0.4276 0.4902 x2  5 O 1.99-2.08
Mn 0.5629 0.0803 0.2482 x2  5 O 1.99-2.02
Mn 0.5977 0.2563 0.7636 x2  4 O 2.01-2.13
B 0.0817 0.0754 0.7499 x2  3 O 1.38-1.39
B 0.5085 0.0865 0.5064 x2  3 O 1.39-1.40
B 0.5724 0.4093 0.2396 x2  3 O 1.37-1.40
B 0.9946 0.4227 0.9906 x2  3 O 1.38-1.40
O 0.1612 0.0601 0.2194 x2  1 B 1.38
O 0.2063 0.2073 0.7432 x2  1 B 1.38
O 0.2253 0.4118 0.9620 x2  1 B 1.38
O 0.3562 0.4110 0.2805 x2  1 B 1.39
O 0.4030 0.2191 0.5292 x2  1 B 1.39
O 0.4192 0.0457 0.0402 x2  1 B 1.39
O 0.6669 0.4585 0.7063 x2  1 B 1.40
O 0.6967 0.2807 0.2266 x2  1 B 1.37
O 0.7117 0.0870 0.4564 x2  1 B 1.40
O 0.8383 0.2948 0.9849 x2  1 B 1.40
O 0.8581 0.0793 0.7856 x2  1 B 1.39
O 0.9163 0.4417 0.5223 x2  1 B 1.39

Properties
Uncorrected energy (eV per atom): -7.508
Crystal system: monoclinic
Energy relative to the elements, uncorrected (eV per atom): -2.08
DOS(E_F) (states/eV/atom): 0.22

---

4.
## Li2Mn3B3O9 (PBEsol)

Data for crystalline Li2Mn3B3O9 at its relaxed geometry.

Cell: 8.1250 8.1250 9.1901 Å, 90.00 90.00 120.00°
Last column: nearest neighbours and their distance in Å.
Space group P3_2 (No. 145)
Unique sites:
Li 0.0127 0.7123 0.0000 x3  4 O 1.88-2.03
Li 0.0266 0.7295 0.6666 x3  4 O 1.90-2.01
Mn 0.3478 0.0058 0.1622 x3  3 O 1.94-2.16
Mn 0.3697 0.0053 0.4973 x3  4 O 1.95-2.10
Mn 0.3963 0.0189 0.8306 x3  5 O 1.93-2.01
B 0.0055 0.0223 0.5055 x3  3 O 1.37-1.40
B 0.3294 0.6676 0.6640 x3  3 O 1.37-1.39
B 0.6574 0.3335 0.3315 x3  3 O 1.38-1.39
O 0.0724 0.8847 0.1543 x3  1 B 1.37
O 0.0764 0.1778 0.1911 x3  1 B 1.38
O 0.1105 0.2210 0.5040 x3  1 B 1.40
O 0.1329 0.5529 0.6554 x3  1 B 1.39
O 0.1382 0.5386 0.3400 x3  1 B 1.39
O 0.1442 0.5558 0.9963 x3  1 B 1.37
O 0.4624 0.2112 0.3323 x3  1 B 1.39
O 0.4723 0.2044 0.9848 x3  1 B 1.38
O 0.4810 0.2190 0.6772 x3  1 B 1.39

Properties
Uncorrected energy (eV per atom): -7.911
Crystal system: trigonal
Energy relative to the elements, uncorrected (eV per atom): -1.94
DOS(E_F) (states/eV/atom): 0.21

---

5.
## Li3MnBPO7 (PBEsol)

Data for crystalline Li3MnBPO7 at its relaxed geometry.

Cell: 4.9224 6.6174 8.1725 Å, 90.00 95.92 90.00°
Last column: nearest neighbours and their distance in Å.
Space group P2_1/m (No. 11)
Unique sites:
Li 0.2275 0.2500 0.0975 x2  4 O 1.93-2.12
Li 0.2501 0.5042 0.7578 x4  3 O 2.01-2.12
Mn 0.2188 0.7500 0.3254 x2  4 O 1.88-2.01
B 0.3007 0.7500 0.0445 x2  3 O 1.34-1.41
P 0.2504 0.2500 0.4138 x2  4 O 1.54-1.56
O 0.0381 0.7500 0.0937 x2  1 B 1.39
O 0.1189 0.2500 0.5773 x2  1 P 1.54
O 0.1629 0.0678 0.3035 x4  1 P 1.54
O 0.3716 0.7500 0.8901 x2  1 B 1.34
O 0.4350 0.7500 0.5391 x2  1 P 1.56
O 0.4962 0.7500 0.1841 x2  1 B 1.41

Properties
Uncorrected energy (eV per atom): -7.182
Crystal system: monoclinic
Energy relative to the elements, uncorrected (eV per atom): -2.17

---

6.
## Li6Mn2B4SO16 (PBEsol)

Data for crystalline Li6Mn2B4SO16 at its relaxed geometry.

Cell: 13.0736 13.0736 13.0736 Å, 90.00 90.00 90.00°
Last column: nearest neighbours and their distance in Å.
Space group Fd-3 (No. 203, origin choice 2)
Unique sites:
Li 0.0965 0.3750 0.3750 x48  2 O 2.03
Mn 0.0000 0.0000 0.5000 x16  6 O 1.90
B 0.0339 0.0339 0.7161 x32  3 O 1.37
S 0.1250 0.1250 0.1250 x8  4 O 1.49
O 0.0243 0.1115 0.7861 x96  1 B 1.37
O 0.0591 0.0591 0.0591 x32  1 S 1.49

Properties
Uncorrected energy (eV per atom): -7.165
Crystal system: cubic
Energy relative to the elements, uncorrected (eV per atom): -2.07
DOS(E_F) (states/eV/atom): 0.00

---

7.
## Li3MnSiBO7 (PBEsol)

Data for crystalline Li3MnSiBO7 at its relaxed geometry.

Cell: 4.9963 6.1818 8.2119 Å, 90.00 95.62 90.00°
Last column: nearest neighbours and their distance in Å.
Space group P2_1/m (No. 11)
Unique sites:
Li 0.2370 0.2500 0.1035 x2  4 O 1.98-2.08
Li 0.2511 0.0025 0.7534 x4  3 O 1.95-2.07
Mn 0.2038 0.7500 0.3168 x2  6 O 1.86-1.97
Si 0.2727 0.2500 0.4282 x2  4 O 1.62-1.64
B 0.2927 0.7500 0.0390 x2  3 O 1.34-1.40
O 0.0335 0.7500 0.0896 x2  1 B 1.40
O 0.1288 0.2500 0.5964 x2  1 Si 1.62
O 0.1811 0.0521 0.3018 x4  1 Si 1.64
O 0.3623 0.7500 0.8855 x2  1 B 1.34
O 0.4007 0.7500 0.5211 x2  1 Si 1.64
O 0.4825 0.7500 0.1770 x2  1 B 1.40

Properties
Uncorrected energy (eV per atom): -7.262
Crystal system: monoclinic
Energy relative to the elements, uncorrected (eV per atom): -2.25
DOS(E_F) (states/eV/atom): 0.00

---

8.
## LiB2Mo (PBEsol)

Data for crystalline LiB2Mo at its relaxed geometry.

Cell: 5.6595 5.6595 4.8483 Å, 90.00 90.00 90.00°
Last column: nearest neighbours and their distance in Å.
Space group I-42d (No. 122)
Unique sites:
Li 0.0000 0.0000 0.0000 x4  4 B 2.01
B 0.2291 0.2500 0.1250 x8  2 Li 2.01, 2 Mo 2.17
Mo 0.0000 0.0000 0.5000 x4  4 B 2.17, 2 Li 2.42

Properties
Uncorrected energy (eV per atom): -6.396
Crystal system: tetragonal
Formation enthalpy at 0 K (eV per atom): 0.546
DOS(E_F) (states/eV/atom): 0.46

---

9.
## Li2BMoSe (PBEsol)

Data for crystalline Li2BMoSe at its relaxed geometry.

Cell: 3.9947 3.9947 4.3924 Å, 90.00 90.00 90.00°
Last column: nearest neighbours and their distance in Å.
Space group P4/mmm (No. 123)
Unique sites:
Li 0.0000 0.5000 0.0000 x2  2 B 2.00
B 0.0000 0.0000 0.0000 x1  4 Li 2.00, 2 Se 2.20
Mo 0.5000 0.5000 0.5000 x1  4 Se 2.82, 8 Li 2.97
Se 0.0000 0.0000 0.5000 x1  2 B 2.20

Properties
Uncorrected energy (eV per atom): -4.350
Crystal system: tetragonal
Energy relative to the elements, uncorrected (eV per atom): 0.96
DOS(E_F) (states/eV/atom): 0.52

---

10.
## LiSnBMo2 (PBEsol)

Data for crystalline LiSnBMo2 at its relaxed geometry.

Cell: 4.4085 4.4085 3.5458 Å, 90.00 90.00 90.00°
Last column: nearest neighbours and their distance in Å.
Space group P4/mmm (No. 123)
Unique sites:
Li 0.0000 0.0000 0.0000 x1  2 B 1.77
Sn 0.5000 0.5000 0.5000 x1  8 Mo 2.83, 4 B 3.12
B 0.0000 0.0000 0.5000 x1  2 Li 1.77
Mo 0.0000 0.5000 0.0000 x2  2 Li 2.20

Properties
Uncorrected energy (eV per atom): -6.106
Crystal system: tetragonal
Formation enthalpy at 0 K (eV per atom): 1.250
DOS(E_F) (states/eV/atom): 0.99

---

11.
## LiBN3 (PBEsol)

Data for crystalline LiBN3 at its relaxed geometry.

Cell: 3.3242 3.3242 3.3242 Å, 90.00 90.00 90.00°
Last column: nearest neighbours and their distance in Å.
Space group Pm-3m (No. 221)
Unique sites:
Li 0.0000 0.0000 0.0000 x1  12 N 2.35
B 0.5000 0.5000 0.5000 x1  6 N 1.66
N 0.0000 0.5000 0.5000 x3  2 B 1.66

Properties
Uncorrected energy (eV per atom): -5.803
Crystal system: cubic
Energy relative to the elements, uncorrected (eV per atom): 1.11
DOS(E_F) (states/eV/atom): 0.53

---

12.
## LiBRhN2 (PBEsol)

Data for crystalline LiBRhN2 at its relaxed geometry.

Cell: 3.3699 3.3699 3.9097 Å, 90.00 90.00 90.00°
Last column: nearest neighbours and their distance in Å.
Space group P4/mmm (No. 123)
Unique sites:
Li 0.0000 0.0000 0.0000 x1  4 N 1.68
B 0.0000 0.0000 0.5000 x1  2 Li 1.95
Rh 0.5000 0.5000 0.5000 x1  4 B 2.38, 8 N 2.58
N 0.0000 0.5000 0.0000 x2  2 Li 1.68

Properties
Uncorrected energy (eV per atom): -5.002
Crystal system: tetragonal
Energy relative to the elements, uncorrected (eV per atom): 1.83
DOS(E_F) (states/eV/atom): 0.52